Entry 1:
! Zn2Ag2Pd3, relaxed, DFT GGA-PBE; values from VASP
! Calculated density   9.5 g/cm³
! Crystal system   triclinic
! Energy relative to the elements   -0.250 eV/atom
! SG   P-1
! DFT total energy   -25.6 eV per cell
&SYSTEM
  ibrav = 0, nat = 7, ntyp = 3
/
ATOMIC_SPECIES
Zn 65.41 Zn.upf
Ag 107.87 Ag.upf
Pd 106.42 Pd.upf
ATOMIC_POSITIONS angstrom
Zn 2.383 1.444 0.343
Zn -0.591 2.185 5.972
Ag 0.751 0.453 2.669
Ag 1.041 3.176 3.647
Pd 0.000 0.000 0.000
Pd 1.500 0.908 5.333
Pd 0.292 2.721 0.983
CELL_PARAMETERS angstrom
4.218 0.013 -1.166
-2.262 3.722 -0.005
-0.165 -0.106 7.487

Entry 2:
! Zn3Ag2Pd, relaxed, DFT GGA-PBE; values from VASP
! Calculated density   9.2 g/cm³
! Crystal system   orthorhombic
! Energy relative to the elements   -0.197 eV/atom
! SG   Cmmm
! DFT total energy   -31.8 eV per cell
&SYSTEM
  ibrav = 0, nat = 12, ntyp = 3
/
ATOMIC_SPECIES
Zn 65.41 Zn.upf
Ag 107.87 Ag.upf
Pd 106.42 Pd.upf
ATOMIC_POSITIONS angstrom
Zn -2.292 6.534 -1.287
Zn -2.396 1.025 -0.649
Zn -4.290 -2.036 1.665
Zn -0.437 3.998 -3.025
Zn -6.146 0.500 3.403
Zn -4.186 3.472 1.027
Ag 0.000 0.000 0.000
Ag -1.747 2.387 1.636
Ag -4.262 0.729 1.370
Ag -2.321 3.769 -0.992
Pd -2.495 -1.627 -0.290
Pd -0.594 1.350 -2.604
CELL_PARAMETERS angstrom
1.398 4.470 -5.029
-4.487 -4.746 2.135
-3.494 4.774 3.272